1.
PBE LiPmO3, optimized geometry; SG = Pm-3m (221); energy relative to the elements, uncorrected = -1.88 eV per atom
1.0
3.746 0.000 0.000
0.000 3.746 0.000
0.000 0.000 3.746
Li Pm O
1 1 3
Cartesian
0.000 0.000 0.000
1.873 1.873 1.873
0.000 0.000 1.873
0.000 1.873 0.000
1.873 0.000 0.000

=====

2.
PBE LiPmO, optimized geometry; SG = I4mm (107); energy above the most stable polymorph in this dataset = 1.532 eV/f.u.; energy relative to the elements, uncorrected = -1.21 eV per atom
1.0
-1.649 1.649 6.649
1.649 -1.649 6.649
1.649 1.649 -6.649
Li Pm O
1 1 1
Cartesian
0.000 0.000 0.000
0.000 0.000 4.302
0.000 0.000 6.345

=====

3.
PBE LiPmO2, optimized geometry; SG = R3m (160); energy above the most stable polymorph in this dataset = 0.961 eV/f.u.; energy relative to the elements, uncorrected = -2.57 eV per atom
1.0
1.748 1.009 5.756
-1.748 1.009 5.756
0.000 -2.018 5.756
Li Pm O
1 1 2
Cartesian
0.000 0.000 0.000
0.000 0.000 3.298
0.000 0.000 10.451
0.000 0.000 13.716

=====

4.
PBE LiPm3O, optimized geometry; SG = Pm-3m (221); energy relative to the elements, uncorrected = -1.04 eV per atom
1.0
4.960 0.000 0.000
0.000 4.960 0.000
0.000 0.000 4.960
Li Pm O
1 3 1
Cartesian
0.000 0.000 0.000
0.000 2.480 2.480
2.480 0.000 2.480
2.480 2.480 0.000
2.480 2.480 2.480

=====

5.
PBE Li2Pm4O, optimized geometry; SG = I4/mmm (139); energy relative to the elements, uncorrected = -0.60 eV per atom
1.0
-2.461 2.461 7.429
2.461 -2.461 7.429
2.461 2.461 -7.429
Li Pm O
2 4 1
Cartesian
0.000 0.000 1.886
0.000 0.000 12.971
2.461 0.000 0.000
0.000 0.000 4.854
0.000 2.461 0.000
0.000 0.000 10.003
0.000 0.000 7.429

=====

6.
PBE LiPmO, optimized geometry; SG = Cm (8); energy above the most stable polymorph in this dataset = 0.000 eV/f.u.; energy relative to the elements, uncorrected = -1.72 eV per atom
1.0
6.037 -2.045 0.000
6.037 2.045 0.000
-2.830 0.000 5.304
Li Pm O
2 2 2
Cartesian
0.000 0.000 0.000
5.243 0.000 1.505
2.330 0.000 3.266
5.763 0.000 5.133
3.519 0.000 5.221
7.732 0.000 3.993

=====

7.
PBE LiPmO2, optimized geometry; SG = R-3m (166); energy above the most stable polymorph in this dataset = 0.545 eV/f.u.; energy relative to the elements, uncorrected = -2.68 eV per atom
1.0
1.755 1.013 5.111
-1.755 1.013 5.111
0.000 -2.026 5.111
Li Pm O
1 1 2
Cartesian
0.000 0.000 0.000
0.000 0.000 7.666
0.000 0.000 3.781
0.000 0.000 11.551

=====

8.
PBE LiPmPt2O8, optimized geometry; SG = P-3 (147); energy relative to the elements, uncorrected = -0.75 eV per atom
1.0
5.255 0.000 0.000
-2.627 4.551 0.000
0.000 0.000 5.751
Li Pm Pt O
1 1 2 8
Cartesian
0.000 0.000 0.000
0.000 0.000 2.875
0.000 3.034 5.454
2.627 1.517 0.297
-0.673 1.623 0.954
-0.885 4.321 0.954
0.000 3.034 3.446
1.069 1.394 4.797
1.558 3.157 0.954
2.627 1.517 2.304
3.512 0.229 4.797
3.300 2.927 4.797